No. 1
WS2F at its PBEsol-relaxed geometry. Source: Alexandria, functional SCAN.

Summary:
crystal system	tetragonal
raw formation energy	-304	meV per atom
symmetry	I-42d (122)
density	5.6	g cm⁻³

a b c (Å): 6.220 6.220 6.220
angles (deg): 124.49 124.49 82.38
Element x y z (fractional)
W 0.000 0.000 0.000
W 0.750 0.250 0.500
S 0.088 0.625 0.963
S 0.375 0.338 0.463
S 0.662 0.125 0.037
S 0.875 0.912 0.537
F 0.250 0.750 0.500
F 0.500 0.500 0.000

---

No. 2
Nd2Si2PbSe8 at its PBEsol-relaxed geometry. Source: Alexandria, functional SCAN.

Summary:
crystal system	monoclinic
raw formation energy	-1170	meV per atom
symmetry	Cc (9)
density	5.8	g cm⁻³

a b c (Å): 9.159 9.159 10.492
angles (deg): 114.17 114.17 60.97
Element x y z (fractional)
Nd 0.057 0.943 0.500
Nd 0.559 0.754 0.006
Nd 0.754 0.559 0.506
Nd 0.943 0.057 0.000
Si 0.145 0.676 0.736
Si 0.351 0.827 0.275
Si 0.676 0.145 0.236
Si 0.827 0.351 0.775
Pb 0.254 0.414 0.017
Pb 0.414 0.254 0.517
Se 0.044 0.295 0.686
Se 0.067 0.595 0.488
Se 0.104 0.774 0.185
Se 0.208 0.918 0.814
Se 0.295 0.044 0.186
Se 0.388 0.474 0.839
Se 0.420 0.900 0.523
Se 0.474 0.388 0.339
Se 0.580 0.591 0.204
Se 0.591 0.580 0.704
Se 0.595 0.067 0.988
Se 0.734 0.913 0.305
Se 0.774 0.104 0.685
Se 0.900 0.420 0.023
Se 0.913 0.734 0.805
Se 0.918 0.208 0.314

---

No. 3
LiCoP4O12 at its PBEsol-relaxed geometry. Source: Alexandria, functional SCAN.

Summary:
crystal system	monoclinic
raw formation energy	-2258	meV per atom
energy relative to the lowest polymorph listed for this composition	0	kJ/mol of formula units
symmetry	Cc (9)
density	2.8	g cm⁻³

a b c (Å): 8.178 8.178 7.348
angles (deg): 98.17 98.17 110.43
Element x y z (fractional)
Li 0.144 0.856 0.500
Li 0.856 0.144 0.000
Co 0.560 0.819 0.953
Co 0.819 0.560 0.453
P 0.109 0.435 0.371
P 0.276 0.920 0.124
P 0.435 0.109 0.871
P 0.490 0.646 0.536
P 0.646 0.490 0.036
P 0.747 0.901 0.371
P 0.901 0.747 0.871
P 0.920 0.276 0.624
O 0.029 0.281 0.213
O 0.040 0.587 0.384
O 0.070 0.868 0.022
O 0.109 0.371 0.569
O 0.281 0.029 0.713
O 0.282 0.944 0.327
O 0.317 0.530 0.378
O 0.339 0.786 0.022
O 0.371 0.109 0.069
O 0.426 0.693 0.711
O 0.530 0.317 0.878
O 0.546 0.613 0.046
O 0.572 0.819 0.451
O 0.587 0.040 0.884
O 0.613 0.546 0.546
O 0.693 0.426 0.211
O 0.699 0.959 0.191
O 0.777 0.849 0.865
O 0.786 0.339 0.522
O 0.819 0.572 0.951
O 0.849 0.777 0.365
O 0.868 0.070 0.522
O 0.944 0.282 0.827
O 0.959 0.699 0.691

---

No. 4
PIrIN2 at its PBEsol-relaxed geometry. Source: Alexandria, functional SCAN.

Summary:
crystal system	tetragonal
raw formation energy	1481	meV per atom
symmetry	P4/mmm (123)
density	7.4	g cm⁻³

a b c (Å): 3.508 3.508 6.885
angles (deg): 90.00 90.00 90.00
Element x y z (fractional)
P 0.000 0.000 0.000
Ir 0.500 0.500 0.500
I 0.000 0.000 0.500
N 0.000 0.500 0.000
N 0.500 0.000 0.000